Record 1
Density functional theory data (PBE-GGA) for an optimized crystal structure of TbSm3Ir.

Formation energy ... -0.1631 eV/atom

abc: 5.5448 5.5448 5.5448
angles: 90.00 90.00 90.00
Space group Pm-3m (No. 221)
Inequivalent atoms, fractional coordinates:
Tb 0.0000 0.0000 0.0000 (multiplicity 1)
Sm 0.0000 0.5000 0.5000 (multiplicity 3)
Ir 0.5000 0.5000 0.5000 (multiplicity 1)

---

Record 2
Density functional theory data (PBE-GGA) for an optimized crystal structure of Tb3SmIr8.

Distance to the lowest polymorph of the same formula ... 0.0000 eV/atom
Formation energy ... -0.7875 eV/atom

abc: 5.3818 5.3818 26.3390
angles: 90.00 90.00 120.00
Space group R3m (No. 160, hexagonal axes)
Inequivalent atoms, fractional coordinates:
Tb 0.0000 0.0000 0.0000 (multiplicity 3)
Tb 0.0000 0.0000 0.1248 (multiplicity 3)
Tb 0.0000 0.0000 0.6253 (multiplicity 3)
Sm 0.0000 0.0000 0.5002 (multiplicity 3)
Ir 0.0000 0.0000 0.3126 (multiplicity 3)
Ir 0.0000 0.0000 0.8125 (multiplicity 3)
Ir 0.9995 0.4998 0.0622 (multiplicity 9)
Ir 0.0003 0.5001 0.5630 (multiplicity 9)

---

Record 3
Density functional theory data (PBE-GGA) for an optimized crystal structure of Sm5Te2Ir2.

Raw formation energy ... -9.1 eV/f.u.

abc: 15.8730 7.9841 7.9313
angles: 90.00 90.00 90.00
Space group Cmce (No. 64)
Inequivalent atoms, fractional coordinates:
Sm 0.0000 0.0000 0.0000 (multiplicity 4)
Sm 0.1170 0.1607 0.3414 (multiplicity 16)
Te 0.2083 0.0000 0.0000 (multiplicity 8)
Ir 0.0000 0.1387 0.6377 (multiplicity 8)

---

| no. | calculated density (g cm⁻³) |
| --- | --- |
| 1 | 7.8 |
| 2 | 16.3 |
| 3 | 9.2 |